(1)
# HoInGaAg | Alexandria via LeMat-Bulk | PBE | optimized geometry
# DOS(E_F): 4.42 states/eV per cell
# E_form: -331 meV per atom
# Raw total energy: -58.1 eV/cell
# Total magnetization: 0.00 μB per formula unit
# Volume: 343.8 Å³/cell
data_HoInGaAg
_chemical_formula_sum 'Ho4 In4 Ga4 Ag4'
_cell_length_a 7.006
_cell_length_b 7.006
_cell_length_c 7.006
_cell_angle_alpha 90.00
_cell_angle_beta 90.00
_cell_angle_gamma 90.00
_space_group_name_H-M_alt 'F -4 3 m'
_space_group_IT_number 216
_space_group_name_Hall 'F -4 2 3'
loop_
_atom_site_label
_atom_site_fract_x
_atom_site_fract_y
_atom_site_fract_z
Ho1 0.000 0.000 0.000
In1 0.000 0.000 0.500
Ga1 0.250 0.250 0.250
Ag1 0.250 0.250 0.750

---

(2)
# CeThAlSi | Alexandria via LeMat-Bulk | PBE | optimized geometry
# DOS(E_F): 5.43 states/eV per cell
# Uncorrected formation energy: -400 meV/atom
# Raw total energy: -24.1 eV/cell
# Total magnetization: 0.47 μB per formula unit
# Volume: 93.1 Å³/cell
data_CeThAlSi
_chemical_formula_sum 'Ce1 Th1 Al1 Si1'
_cell_length_a 5.374
_cell_length_b 3.297
_cell_length_c 5.402
_cell_angle_alpha 90.00
_cell_angle_beta 103.54
_cell_angle_gamma 90.00
_space_group_name_H-M_alt 'P 1 m 1'
_space_group_IT_number 6
loop_
_space_group_symop_operation_xyz
'x,y,z'
'x,-y,z'
loop_
_atom_site_label
_atom_site_fract_x
_atom_site_fract_y
_atom_site_fract_z
Ce1 0.000 0.000 0.000
Th1 0.440 0.000 0.556
Al1 0.527 0.500 0.082
Si1 0.922 0.500 0.479

---

(3)
# Nd12Si5Pd3 | Alexandria via LeMat-Bulk | PBE | optimized geometry
# DOS(E_F): 143.32 states/eV per cell
# Uncorrected formation energy: -145 meV/atom
# Raw total energy: -822.5 eV/cell
# Total magnetization: 0.00 μB per formula unit
# Volume: 5184.9 Å³/cell
data_Nd12Si5Pd3
_chemical_formula_sum 'Nd96 Si40 Pd24'
_cell_length_a 17.308
_cell_length_b 17.308
_cell_length_c 17.308
_cell_angle_alpha 90.00
_cell_angle_beta 90.00
_cell_angle_gamma 90.00
_space_group_name_H-M_alt 'I a -3 d'
_space_group_IT_number 230
_space_group_name_Hall '-I 4bd 2c 3'
loop_
_atom_site_label
_atom_site_fract_x
_atom_site_fract_y
_atom_site_fract_z
Nd1 0.021 0.072 0.649
Si1 0.000 0.000 0.000
Si2 0.000 0.250 0.375
Pd1 0.000 0.250 0.125

---

Q: Which value of total magnetization does entry 3 give?
A: 0.00 μB per formula unit

---

Q: Which of these has the highest DOS(E_F)?
A: Nd12Si5Pd3

---

Q: Which of these has the lowest volume?
A: CeThAlSi